No. 1
First-principles (PBE-GGA) data for a relaxed PmZn3Pd9 crystal, as listed in Alexandria.

Properties
For the energy of formation, the calculation gives -0.50 eV per atom. For the total magnetization, the calculation gives 0.00 μB/atom. The calculation puts the raw total energy at -4.754 eV/atom.

```
PmZn3Pd9
1.0
-2.278 4.657 0.465
-5.751 -0.550 3.436
2.053 3.341 5.736
Pd Zn Pm
9 3 1
direct
0.018 0.340 0.647
0.000 0.500 0.000
0.286 0.218 0.223
0.491 0.782 0.223
0.714 0.782 0.777
0.509 0.218 0.777
0.982 0.660 0.353
0.335 0.660 0.647
0.665 0.340 0.353
0.500 0.000 0.500
0.500 0.500 0.000
0.000 0.000 0.500
0.000 0.000 0.000
```

***

No. 2
First-principles (PBE-GGA) data for a relaxed PmZn2Pd crystal, as listed in Alexandria.

Properties
For the energy of formation, the calculation gives -0.58 eV per atom. For the total magnetization, the calculation gives 0.00 μB/atom. The calculation puts the raw total energy at -3.700 eV/atom. The polymorph energy (0 for the lowest one) comes out at 0 meV per atom.

```
PmZn2Pd
1.0
4.407 0.011 0.000
-2.191 4.930 0.000
0.000 0.000 7.123
Zn Pm Pd
4 2 2
direct
0.368 0.735 0.560
0.632 0.265 0.060
0.368 0.735 0.940
0.632 0.265 0.440
0.079 0.158 0.750
0.921 0.842 0.250
0.790 0.577 0.750
0.210 0.423 0.250
```

***

No. 3
First-principles (PBE-GGA) data for a relaxed Pm3Zn4Pd4 crystal, as listed in Alexandria.

Properties
For the energy of formation, the calculation gives -0.63 eV per atom. For the total magnetization, the calculation gives 0.00 μB/atom. The calculation puts the raw total energy at -4.279 eV/atom. The polymorph energy (0 for the lowest one) comes out at 43 meV per atom.

```
Pm3Zn4Pd4
1.0
-1.359 3.228 1.547
-2.679 0.491 -3.378
-11.633 -5.268 5.532
Zn Pd Pm
4 4 3
direct
0.747 0.749 0.508
0.253 0.251 0.492
0.595 0.100 0.806
0.405 0.900 0.194
0.449 0.449 0.100
0.311 0.806 0.381
0.551 0.551 0.900
0.689 0.194 0.619
0.144 0.650 0.709
0.856 0.350 0.291
0.000 0.000 0.000
```

***

No. 4
First-principles (PBE-GGA) data for a relaxed PmZn2Pd7 crystal, as listed in Alexandria.

Properties
For the energy of formation, the calculation gives -0.12 eV per atom. For the total magnetization, the calculation gives 0.00 μB/atom. The calculation puts the raw total energy at -4.482 eV/atom.

```
PmZn2Pd7
1.0
-3.439 -1.997 -2.169
0.519 -5.683 4.411
-4.314 5.502 1.773
Zn Pd Pm
2 7 1
direct
0.500 0.700 0.300
0.500 0.300 0.700
0.500 0.500 0.500
0.500 0.306 0.068
0.500 0.068 0.306
0.000 0.780 0.220
0.500 0.932 0.694
0.500 0.694 0.932
0.000 0.220 0.780
0.000 0.000 0.000
```

***

No. 5
First-principles (PBE-GGA) data for a relaxed Pm4Zn5Pd crystal, as listed in Alexandria.

Properties
For the energy of formation, the calculation gives -0.34 eV per atom. For the total magnetization, the calculation gives 0.00 μB/atom. The calculation puts the raw total energy at -3.394 eV/atom.

```
Pm4Zn5Pd
1.0
-0.190 3.417 -1.025
-2.786 -0.783 -2.094
-10.915 3.371 13.261
Zn Pm Pd
5 4 1
direct
0.500 0.500 0.929
0.500 0.500 0.500
0.500 0.500 0.713
0.500 0.500 0.071
0.500 0.500 0.287
0.000 0.000 0.392
0.000 0.000 0.180
0.000 0.000 0.608
0.000 0.000 0.820
0.000 0.000 0.000
```

***

No. 6
First-principles (PBE-GGA) data for a relaxed PmZn12Pd4 crystal, as listed in Alexandria.

Properties
For the energy of formation, the calculation gives -0.04 eV per atom. For the total magnetization, the calculation gives 0.00 μB/atom. The calculation puts the raw total energy at -2.442 eV/atom.

```
PmZn12Pd4
1.0
7.544 0.000 0.000
-2.515 7.113 0.000
-2.515 -3.556 6.160
Pd Zn Pm
4 12 1
direct
0.500 0.500 0.500
0.000 0.500 0.000
0.000 0.000 0.500
0.500 0.000 0.000
0.151 0.352 0.503
0.352 0.503 0.151
0.849 0.352 0.200
0.503 0.151 0.352
0.352 0.200 0.849
0.800 0.151 0.648
0.849 0.648 0.497
0.151 0.648 0.800
0.200 0.849 0.352
0.648 0.497 0.849
0.497 0.849 0.648
0.648 0.800 0.151
0.000 0.000 0.000
```

***

No. 7
First-principles (PBE-GGA) data for a relaxed Pm2ZnPd4 crystal, as listed in Alexandria.

Properties
For the energy of formation, the calculation gives -0.59 eV per atom. For the total magnetization, the calculation gives 0.00 μB/atom. The calculation puts the raw total energy at -5.092 eV/atom. The polymorph energy (0 for the lowest one) comes out at 36 meV per atom.

```
Pm2ZnPd4
1.0
6.230 0.021 -0.002
0.013 6.230 0.002
-3.120 -3.127 3.994
Pm Pd Zn
2 4 1
direct
0.250 0.750 0.500
0.750 0.250 0.500
0.716 0.284 0.000
0.718 0.718 0.000
0.282 0.282 0.000
0.284 0.716 0.000
0.000 0.000 0.000
```

***

No. 8
First-principles (PBE-GGA) data for a relaxed Pm2ZnPd crystal, as listed in Alexandria.

Properties
For the energy of formation, the calculation gives -0.54 eV per atom. For the total magnetization, the calculation gives 0.00 μB/atom. The calculation puts the raw total energy at -4.536 eV/atom. The polymorph energy (0 for the lowest one) comes out at 11 meV per atom.

```
Pm2ZnPd
1.0
3.657 0.000 0.000
0.000 3.657 0.000
0.000 0.000 7.163
Zn Pm Pd
1 2 1
direct
0.500 0.500 0.500
0.000 0.000 0.756
0.000 0.000 0.244
0.500 0.500 0.000
```

***

No. 9
First-principles (PBE-GGA) data for a relaxed Pm2Zn2Pd3 crystal, as listed in Alexandria.

Properties
For the energy of formation, the calculation gives -0.67 eV per atom. For the total magnetization, the calculation gives 0.00 μB/atom. The calculation puts the raw total energy at -4.617 eV/atom. The polymorph energy (0 for the lowest one) comes out at 19 meV per atom.

```
Pm2Zn2Pd3
1.0
4.001 0.000 0.000
-2.000 5.245 0.120
0.000 -2.613 6.574
Pd Pm Zn
3 2 2
direct
0.375 0.750 0.560
0.625 0.250 0.440
0.500 0.000 0.000
0.876 0.752 0.244
0.124 0.248 0.756
0.154 0.308 0.218
0.846 0.692 0.782
```

***

No. 10
First-principles (PBE-GGA) data for a relaxed PmZn11Pd crystal, as listed in Alexandria.

Properties
For the energy of formation, the calculation gives -0.26 eV per atom. For the total magnetization, the calculation gives 0.00 μB/atom. The calculation puts the raw total energy at -2.105 eV/atom.

```
PmZn11Pd
1.0
4.821 0.048 2.009
2.412 6.360 1.005
-0.029 0.024 6.859
Zn Pd Pm
11 1 1
direct
0.000 0.500 0.000
0.635 0.355 0.353
0.722 0.782 0.779
0.988 0.355 0.647
0.278 0.218 0.221
0.365 0.645 0.647
0.499 0.218 0.779
0.000 0.000 0.500
0.012 0.645 0.353
0.501 0.782 0.221
0.500 0.000 0.500
0.500 0.500 0.000
0.000 0.000 0.000
```

***

No. 11
First-principles (PBE-GGA) data for a relaxed PmZnPd crystal, as listed in Alexandria.

Properties
For the energy of formation, the calculation gives -0.67 eV per atom. For the total magnetization, the calculation gives 0.00 μB/atom. The calculation puts the raw total energy at -4.405 eV/atom. The polymorph energy (0 for the lowest one) comes out at 40 meV per atom.

```
PmZnPd
1.0
-1.450 0.749 -4.171
-4.433 -3.045 -1.411
-4.566 3.864 -0.123
Zn Pd Pm
2 2 2
direct
0.167 0.764 0.902
0.833 0.236 0.098
0.168 0.373 0.291
0.832 0.627 0.709
0.550 0.203 0.697
0.450 0.797 0.303
```

***

No. 12
First-principles (PBE-GGA) data for a relaxed PmZnPd crystal, as listed in Alexandria.

Properties
For the energy of formation, the calculation gives -0.65 eV per atom. For the total magnetization, the calculation gives 0.00 μB/atom. The calculation puts the raw total energy at -4.387 eV/atom. The polymorph energy (0 for the lowest one) comes out at 59 meV per atom.

```
PmZnPd
1.0
3.724 0.000 0.000
0.000 4.468 0.000
0.000 -2.234 3.869
Pd Zn Pm
1 1 1
direct
0.167 0.333 0.667
0.167 0.000 0.000
0.666 0.667 0.333
```